No. 1
This record from Alexandria via LeMat-Bulk describes an optimized crystal structure of Tb3ZnIn. The functional is PBE-GGA.

- DOS at the Fermi energy: 21.6 states/eV per cell
- Final energy: -75.802 eV/cell
- Theoretical density: 8.18 g/cm3

Cell: 9.2512 5.9815 11.5363 Å, 90.00 123.32 90.00°
Last column: nearest neighbours and their distance in Å.
Space group P2_1/c (No. 14)
Unique sites:
Tb  0.0090  0.1158  0.1638 [4 per cell]  3 Tb 3.10-3.44, 4 In 3.19-3.44, 2 Zn 3.19-3.32
Tb  0.3220  0.5940  0.9683 [4 per cell]  3 Zn 3.06-3.30, 3 Tb 3.10-3.34, 1 In 3.22
Tb  0.3818  0.0939  0.1654 [4 per cell]  3 Zn 3.04-3.25, 1 In 3.40
Zn  0.3482  0.1160  0.8881 [4 per cell]  1 In 2.81, 1 Zn 2.92, 4 Tb 3.04-3.15
In  0.1486  0.6385  0.1447 [4 per cell]  1 Zn 2.81

No. 2
This record from Alexandria via LeMat-Bulk describes an optimized crystal structure of Pm4Ag2Hg5. The functional is PBE-GGA.

- DOS at the Fermi energy: 9.9 states/eV per cell
- Final energy: -30.089 eV/cell
- Theoretical density: 10.40 g/cm3

Cell: 7.8887 3.6391 10.0445 Å, 90.00 94.87 90.00°
Last column: nearest neighbours and their distance in Å.
Space group P2/m (No. 10)
Unique sites:
Pm  0.1821  0.0000  0.3767 [2 per cell]  2 Ag 3.12, 8 Hg 3.26-3.43
Pm  0.2606  0.0000  0.9320 [2 per cell]  4 Ag 3.18-3.20, 6 Hg 3.28-3.37
Ag  0.0673  0.5000  0.1329 [2 per cell]  1 Ag 2.79, 2 Hg 2.96-2.97, 2 Pm 3.12
Hg  0.1709  0.5000  0.6528 [2 per cell]  1 Ag 2.97, 2 Hg 3.13-3.32, 4 Pm 3.32
Hg  0.4424  0.5000  0.1884 [2 per cell]  1 Ag 2.96, 1 Hg 3.12, 2 Pm 3.28
Hg  0.5000  0.5000  0.5000 [1 per cell]  4 Hg 3.12-3.13, 4 Pm 3.26

No. 3
This record from Alexandria via LeMat-Bulk describes an optimized crystal structure of PrTm2TiN4. The functional is PBE-GGA.

- ΔE_f (raw): -1.522 eV per atom
- DOS at the Fermi energy: 10.8 states/eV per cell
- Theoretical density: 8.25 g/cm3

Cell: 3.3997 11.7682 11.7281 Å, 90.00 90.00 90.00°
Last column: nearest neighbours and their distance in Å.
Space group Cmcm (No. 63)
Unique sites:
Pr  0.0000  0.0958  0.2500 [4 per cell]  6 N 2.60-2.83
Tm  0.0000  0.3707  0.0391 [8 per cell]  5 N 2.27-2.49
Ti  0.0000  0.1665  0.7500 [4 per cell]  4 N 1.88-2.03
N  0.0000  0.0000  0.0000 [4 per cell]  4 Tm 2.33
N  0.0000  0.2610  0.6204 [8 per cell]  1 Ti 1.88
N  0.0000  0.4284  0.2500 [4 per cell]  2 Ti 2.03

No. 4
This record from Alexandria via LeMat-Bulk describes an optimized crystal structure of Ba3MnC2N6. The functional is PBE-GGA.

- ΔE_f (raw): -0.233 eV per atom
- DOS at the Fermi energy: 6.0 states/eV per cell
- Theoretical density: 5.03 g/cm3

Cell: 5.6411 5.6411 6.8824 Å, 90.00 90.00 120.00°
Last column: nearest neighbours and their distance in Å.
Space group P-3m1 (No. 164)
Unique sites:
Ba  0.0000  0.0000  0.0000 [1 per cell]  6 N 2.78
Ba  0.3333  0.6667  0.6908 [2 per cell]  1 C 2.72, 9 N 2.83-3.04
Mn  0.0000  0.0000  0.5000 [1 per cell]  6 N 2.34
C  0.3333  0.6667  0.2955 [2 per cell]  3 N 1.38
N  0.1922  0.3845  0.2977 [6 per cell]  1 C 1.38

No. 5
This record from Alexandria via LeMat-Bulk describes an optimized crystal structure of Cs2BTe. The functional is PBE-GGA.

- ΔE_f (raw): 0.760 eV per atom
- DOS at the Fermi energy: 0.0 states/eV per cell
- Theoretical density: 3.30 g/cm3

Cell: 5.9403 5.9403 23.0248 Å, 90.00 90.00 90.00°
Last column: nearest neighbours and their distance in Å.
Space group I-42d (No. 122)
Unique sites:
Cs  0.2202  0.2500  0.1250 [8 per cell]  2 B 3.49, 2 Te 3.64
B  0.0000  0.0000  0.0000 [4 per cell]  4 Cs 3.49
Te  0.0000  0.0000  0.5000 [4 per cell]  4 Cs 3.64

No. 6
This record from Alexandria via LeMat-Bulk describes an optimized crystal structure of TbGeAu. The functional is PBE-GGA.

- DOS at the Fermi energy: 3.3 states/eV per cell
- Final energy: -29.286 eV/cell
- Theoretical density: 10.93 g/cm3

Cell: 3.6203 4.6971 7.6574 Å, 90.00 90.13 90.00°
Last column: nearest neighbours and their distance in Å.
Space group P2_1/m (No. 11)
Unique sites:
Tb  0.9996  0.2500  0.2468 [2 per cell]  6 Ge 3.06-3.29, 6 Au 3.18-3.19
Ge  0.4953  0.7500  0.4294 [2 per cell]  1 Au 2.56, 2 Ge 2.59
Au  0.4988  0.2500  0.9045 [2 per cell]  1 Ge 2.56, 2 Au 2.77

No. 7
This record from Alexandria via LeMat-Bulk describes an optimized crystal structure of Sr2LiCdIn6. The functional is PBE-GGA.

- DOS at the Fermi energy: 4.1 states/eV per cell
- Final energy: -24.938 eV/cell
- Theoretical density: 5.71 g/cm3

Cell: 6.1133 7.5334 7.5620 Å, 91.39 113.29 113.63°
Last column: nearest neighbours and their distance in Å.
Space group P-1 (No. 2)
Unique sites:
Sr  0.2468  0.2543  0.2380 [2 per cell]  7 In 3.45-3.60, 2 Cd 3.70-3.75, 2 Li 3.75-3.79
Li  0.0000  0.5000  0.5000 [1 per cell]  6 In 2.81-3.14
Cd  0.5000  0.0000  0.0000 [1 per cell]  6 In 2.90-3.20
In  0.1912  0.1907  0.6891 [2 per cell]  5 In 3.05-3.29, 1 Li 3.14, 1 Cd 3.16
In  0.2409  0.5697  0.9145 [2 per cell]  1 Li 2.81, 1 Cd 2.90, 2 In 3.13-3.14
In  0.3104  0.8042  0.3164 [2 per cell]  5 In 3.05-3.29, 1 Li 3.09, 1 Cd 3.20

No. 8
This record from Alexandria via LeMat-Bulk describes an optimized crystal structure of K6AuCl4. The functional is PBE-GGA.

- ΔE_f (raw): -1.439 eV per atom
- DOS at the Fermi energy: 13.1 states/eV per cell
- Theoretical density: 2.40 g/cm3

Cell: 4.4895 15.0954 23.4167 Å, 90.00 90.00 90.00°
Last column: nearest neighbours and their distance in Å.
Space group Cmcm (No. 63)
Unique sites:
K  0.0000  0.0000  0.0000 [4 per cell]  6 Cl 3.18-3.21
K  0.0000  0.1740  0.2500 [4 per cell]  2 Cl 3.25, 2 Au 3.41
K  0.0000  0.2730  0.5829 [8 per cell]  5 Cl 3.15-3.21
K  0.0000  0.4548  0.1621 [8 per cell]  3 Cl 3.15-3.21, 2 Au 3.48
Au  0.0000  0.1563  0.7500 [4 per cell]  6 K 3.41-3.48
Cl  0.0000  0.0934  0.1215 [8 per cell]  6 K 3.15-3.25
Cl  0.0000  0.3625  0.0416 [8 per cell]  6 K 3.15-3.21

No. 9
This record from Alexandria via LeMat-Bulk describes an optimized crystal structure of MnVIn2. The functional is PBE-GGA.

- DOS at the Fermi energy: 14.5 states/eV per cell
- Final energy: -89.935 eV/cell
- Theoretical density: 7.77 g/cm3

Cell: 6.5952 6.5952 6.5952 Å, 90.00 90.00 90.00°
Last column: nearest neighbours and their distance in Å.
Space group Fm-3m (No. 225)
Unique sites:
Mn  0.0000  0.0000  0.0000 [4 per cell]  8 In 2.86
V  0.0000  0.0000  0.5000 [4 per cell]  8 In 2.86
In  0.2500  0.2500  0.2500 [8 per cell]  4 Mn 2.86, 4 V 2.86

No. 10
This record from Alexandria via LeMat-Bulk describes an optimized crystal structure of NbPOsRuSeS. The functional is PBE-GGA.

- ΔE_f (raw): -0.299 eV per atom
- DOS at the Fermi energy: 10.2 states/eV per cell
- Theoretical density: 8.43 g/cm3

Cell: 12.4381 3.0282 6.3946 Å, 90.00 120.55 90.00°
Last column: nearest neighbours and their distance in Å.
Space group Cm (No. 8)
Unique sites:
Nb  0.0000  0.0000  0.0000 [2 per cell]  2 S 2.43, 2 P 2.68, 1 Os 2.70
P  0.1703  0.5000  0.9723 [2 per cell]  1 Os 2.28, 2 Ru 2.33
Os  0.2486  0.5000  0.7183 [2 per cell]  1 P 2.28, 1 S 2.37, 2 Se 2.51
Ru  0.3360  0.0000  0.1458 [2 per cell]  2 P 2.33, 1 S 2.41, 1 Se 2.60
Se  0.3569  0.0000  0.5715 [2 per cell]  2 Os 2.51, 1 Ru 2.60
S  0.0600  0.5000  0.3395 [2 per cell]  1 Os 2.37, 1 Ru 2.41, 2 Nb 2.43

No. 11
This record from Alexandria via LeMat-Bulk describes an optimized crystal structure of SiTeAu2. The functional is PBE-GGA.

- ΔE_f (raw): 0.056 eV per atom
- DOS at the Fermi energy: 3.4 states/eV per cell
- Theoretical density: 10.54 g/cm3

Cell: 7.9200 3.6921 6.5099 Å, 90.00 114.52 90.00°
Last column: nearest neighbours and their distance in Å.
Space group Cm (No. 8)
Unique sites:
Si  0.0000  0.0000  0.0000 [2 per cell]  3 Au 2.47-2.58, 2 Te 2.76
Te  0.1548  0.5000  0.3424 [2 per cell]  2 Si 2.76, 3 Au 2.77-2.95
Au  0.2507  0.0000  0.8676 [2 per cell]  3 Si 2.47-2.58
Au  0.4582  0.0000  0.6080 [2 per cell]  3 Te 2.77-2.95, 3 Au 2.80-2.89, 2 Si 3.05

No. 12
This record from Alexandria via LeMat-Bulk describes an optimized crystal structure of AcPm2Pr5Sm. The functional is PBE-GGA.

- DOS at the Fermi energy: 57.1 states/eV per cell
- Final energy: -159.381 eV/cell
- Theoretical density: 6.84 g/cm3

Cell: 9.1520 9.1520 15.8968 Å, 90.00 90.00 90.00°
Last column: nearest neighbours and their distance in Å.
Space group I4/mcm (No. 140)
Unique sites:
Ac  0.0000  0.5000  0.2500 [4 per cell]  4 Pr 3.30
Pm  0.1137  0.3863  0.0000 [8 per cell]  1 Pm 2.94, 2 Pr 3.11
Pr  0.0000  0.0000  0.0000 [4 per cell]  4 Pm 3.69, 8 Pr 3.90, 2 Sm 3.97
Pr  0.2104  0.2896  0.3669 [16 per cell]  1 Pm 3.11, 1 Ac 3.30
Sm  0.0000  0.0000  0.2500 [4 per cell]  10 Pr 3.77-3.97

No. 13
This record from Alexandria via LeMat-Bulk describes an optimized crystal structure of LiPmTaN3. The functional is PBE-GGA.

- ΔE_f (raw): -1.066 eV per atom
- Theoretical density: 8.47 g/cm3

Cell: 6.8356 3.2233 6.8988 Å, 90.00 104.76 90.00°
Last column: nearest neighbours and their distance in Å.
Space group P2_1/m (No. 11)
Unique sites:
Li  0.0778  0.2500  0.0881 [2 per cell]  4 N 1.87-1.97
Pm  0.2113  0.2500  0.7398 [2 per cell]  5 N 2.46-2.55
Ta  0.3239  0.7500  0.3229 [2 per cell]  5 N 1.99-2.21
N  0.1376  0.2500  0.3678 [2 per cell]  1 Li 1.87
N  0.2174  0.7500  0.0269 [2 per cell]  3 Li 1.97, 1 Ta 1.99
N  0.4517  0.7500  0.6616 [2 per cell]  3 Ta 2.21-2.28, 2 Pm 2.46

No. 14
This record from Alexandria via LeMat-Bulk describes an optimized crystal structure of K5Be. The functional is PBE-GGA.

- DOS at the Fermi energy: 8.7 states/eV per cell
- Final energy: -13.670 eV/cell
- Theoretical density: 0.97 g/cm3

Cell: 15.5655 4.3754 11.3342 Å, 90.00 115.08 90.00°
Last column: nearest neighbours and their distance in Å.
Space group Cm (No. 8)
Unique sites:
K  0.0000  0.0000  0.0000 [2 per cell]  2 Be 3.48
K  0.0453  0.0000  0.3880 [2 per cell]  2 Be 3.76, 2 K 4.03-4.15
K  0.2133  0.5000  0.8476 [2 per cell]  2 Be 3.76, 2 K 4.05-4.14
K  0.2599  0.5000  0.2358 [2 per cell]  2 Be 3.50
K  0.3783  0.0000  0.6184 [2 per cell]  10 K 4.38-4.88
Be  0.3797  0.0000  0.1167 [2 per cell]  8 K 3.48-3.76

No. 15
This record from Alexandria via LeMat-Bulk describes an optimized crystal structure of LaSmCd4. The functional is PBE-GGA.

- DOS at the Fermi energy: 5.0 states/eV per cell
- Final energy: -15.431 eV/cell
- Theoretical density: 7.78 g/cm3

Cell: 3.5301 5.0890 8.7825 Å, 90.00 90.00 90.00°
Last column: nearest neighbours and their distance in Å.
Space group Pmmm (No. 47)
Unique sites:
La  0.0000  0.0000  0.0000 [1 per cell]  12 Cd 3.44, 2 La 3.53
Sm  0.0000  0.5000  0.5000 [1 per cell]  12 Cd 3.38-3.41, 2 Sm 3.53
Cd  0.5000  0.0000  0.3368 [2 per cell]  3 Cd 2.87-2.93
Cd  0.5000  0.5000  0.1712 [2 per cell]  3 Cd 2.93-3.01